# 1
# PBE-GGA CaLa2Pb3, optimized geometry
data_CaLa2Pb3
_space_group_name_H-M_alt 'C 1 2/c 1'
_space_group_IT_number 15
_cell_length_a 17.684
_cell_length_b 6.699
_cell_length_c 6.566
_cell_angle_alpha 90.00
_cell_angle_beta 99.75
_cell_angle_gamma 90.00
loop_
_space_group_symop_operation_xyz
'x,y,z'
'-x,-y,-z'
'-x,y,-z+1/2'
'x,-y,z+1/2'
'x+1/2,y+1/2,z'
'-x+1/2,-y+1/2,-z'
'-x+1/2,y+1/2,-z+1/2'
'x+1/2,-y+1/2,z+1/2'
loop_
_atom_site_label
_atom_site_fract_x
_atom_site_fract_y
_atom_site_fract_z
Ca1 0.000 0.126 0.250
La1 0.169 0.377 0.598
Pb1 0.000 0.379 0.750
Pb2 0.165 0.120 0.072
# E above lowest polymorph: 0.40 eV per formula unit
# magnetization: 0.00 μB/f.u.
# total energy: -26.00 eV per formula unit
# DFT formation energy: -0.50 eV/atom

# 2
# PBE-GGA CaLa3Pb4, optimized geometry
data_CaLa3Pb4
_space_group_name_H-M_alt 'F m m m'
_space_group_IT_number 69
_space_group_name_Hall '-F 2 2'
_cell_length_a 7.436
_cell_length_b 9.159
_cell_length_c 14.769
_cell_angle_alpha 90.00
_cell_angle_beta 90.00
_cell_angle_gamma 90.00
loop_
_atom_site_label
_atom_site_fract_x
_atom_site_fract_y
_atom_site_fract_z
Ca1 0.000 0.000 0.000
La1 0.000 0.000 0.248
La2 0.000 0.000 0.500
Pb1 0.250 0.250 0.123
# magnetization: 0.00 μB/f.u.
# total energy: -36.14 eV per formula unit
# DFT formation energy: -0.57 eV/atom

# 3
# PBE-GGA CaLa2Pb, optimized geometry
data_CaLa2Pb
_space_group_name_H-M_alt 'R -3 m'
_space_group_IT_number 166
_space_group_name_Hall '-R 3 2"'
_cell_length_a 3.9010
_cell_length_b 3.9010
_cell_length_c 34.2050
_cell_angle_alpha 90.00
_cell_angle_beta 90.00
_cell_angle_gamma 120.00
loop_
_atom_site_label
_atom_site_fract_x
_atom_site_fract_y
_atom_site_fract_z
Ca1 0.0000 0.0000 0.0000
La1 0.0000 0.0000 0.2403
Pb1 0.0000 0.0000 0.5000
# magnetization: 0.77 μB/f.u.
# total energy: -15.98 eV per formula unit
# DFT formation energy: -0.10 eV/atom

# 4
# PBE-GGA CaLa3Pb2, optimized geometry
data_CaLa3Pb2
_space_group_name_H-M_alt 'P m m 2'
_space_group_IT_number 25
_cell_length_a 3.450
_cell_length_b 5.611
_cell_length_c 9.603
_cell_angle_alpha 90.00
_cell_angle_beta 90.00
_cell_angle_gamma 90.00
loop_
_space_group_symop_operation_xyz
'x,y,z'
'-x,-y,z'
'-x,y,z'
'x,-y,z'
loop_
_atom_site_label
_atom_site_fract_x
_atom_site_fract_y
_atom_site_fract_z
Ca1 0.000 0.000 0.000
La1 0.000 0.000 0.343
La2 0.000 0.500 0.489
La3 0.000 0.500 0.817
Pb1 0.500 0.000 0.666
Pb2 0.500 0.500 0.158
# E above lowest polymorph: 1.74 eV per formula unit
# magnetization: 0.00 μB/f.u.
# total energy: -25.27 eV per formula unit
# DFT formation energy: -0.18 eV/atom

# 5
# PBE-GGA CaLaPb4, optimized geometry
data_CaLaPb4
_space_group_name_H-M_alt 'F -4 3 m'
_space_group_IT_number 216
_space_group_name_Hall 'F -4 2 3'
_cell_length_a 9.227
_cell_length_b 9.227
_cell_length_c 9.227
_cell_angle_alpha 90.00
_cell_angle_beta 90.00
_cell_angle_gamma 90.00
loop_
_atom_site_label
_atom_site_fract_x
_atom_site_fract_y
_atom_site_fract_z
Ca1 0.000 0.000 0.000
La1 0.250 0.250 0.750
Pb1 0.125 0.125 0.375
# magnetization: 0.00 μB/f.u.
# total energy: -23.35 eV per formula unit
# DFT formation energy: -0.26 eV/atom

# 6
# PBE-GGA CaLaPb6, optimized geometry
data_CaLaPb6
_space_group_name_H-M_alt 'P 4/m m m'
_space_group_IT_number 123
_space_group_name_Hall '-P 4 2'
_cell_length_a 4.928
_cell_length_b 4.928
_cell_length_c 10.002
_cell_angle_alpha 90.00
_cell_angle_beta 90.00
_cell_angle_gamma 90.00
loop_
_atom_site_label
_atom_site_fract_x
_atom_site_fract_y
_atom_site_fract_z
Ca1 0.000 0.000 0.000
La1 0.000 0.000 0.500
Pb1 0.000 0.500 0.246
Pb2 0.500 0.500 0.000
Pb3 0.500 0.500 0.500
# magnetization: 0.00 μB/f.u.
# total energy: -32.23 eV per formula unit
# DFT formation energy: -0.38 eV/atom

# 7
# PBE-GGA Ca2La2Pb, optimized geometry
data_Ca2La2Pb
_space_group_name_H-M_alt 'P 4/m b m'
_space_group_IT_number 127
_space_group_name_Hall '-P 4 2ab'
_cell_length_a 8.266
_cell_length_b 8.266
_cell_length_c 5.341
_cell_angle_alpha 90.00
_cell_angle_beta 90.00
_cell_angle_gamma 90.00
loop_
_atom_site_label
_atom_site_fract_x
_atom_site_fract_y
_atom_site_fract_z
Ca1 0.149 0.351 0.000
La1 0.156 0.656 0.500
Pb1 0.000 0.000 0.000
# E above lowest polymorph: 0.00 eV per formula unit
# magnetization: 0.00 μB/f.u.
# total energy: -17.74 eV per formula unit
# DFT formation energy: -0.03 eV/atom

# 8
# PBE-GGA CaLa2Pb, optimized geometry
data_CaLa2Pb
_space_group_name_H-M_alt 'I 4/m m m'
_space_group_IT_number 139
_space_group_name_Hall '-I 4 2'
_cell_length_a 4.962
_cell_length_b 4.962
_cell_length_c 10.636
_cell_angle_alpha 90.00
_cell_angle_beta 90.00
_cell_angle_gamma 90.00
loop_
_atom_site_label
_atom_site_fract_x
_atom_site_fract_y
_atom_site_fract_z
Ca1 0.000 0.000 0.000
La1 0.000 0.500 0.250
Pb1 0.000 0.000 0.500
# magnetization: 0.02 μB/f.u.
# total energy: -16.79 eV per formula unit
# DFT formation energy: -0.31 eV/atom

Which Fermi-level density of states belongs to each record? In order, 0.61 0.75 1.66 1.45 0.73 0.55 1.13 1.20 states/eV per atom.